Entry 1:
VASP calculation (GGA-PBE) on InGaPtO6 after structural relaxation.

Geometry as CIF:
```
data_InGaPtO6
_cell_length_a 5.2056
_cell_length_b 5.2056
_cell_length_c 9.0274
_cell_angle_alpha 90.00
_cell_angle_beta 90.00
_cell_angle_gamma 120.00
_space_group_name_H-M_alt 'P -3 1 c'
_space_group_IT_number 163
_space_group_name_Hall '-P 3 2c'
loop_
_atom_site_label
_atom_site_fract_x
_atom_site_fract_y
_atom_site_fract_z
In1 0.0000 0.0000 0.0000
Ga1 0.3333 0.6667 0.2500
Pt1 0.3333 0.6667 0.7500
O1 0.0018 0.3573 0.6326
```

Values from the calculation:
**Total moment**: 0.003 μB per formula unit
**Calculated total energy**: -5.624 eV per atom

Entry 2:
VASP calculation (GGA-PBE) on RbInGaO2 after structural relaxation.

Geometry as CIF:
```
data_RbInGaO2
_cell_length_a 4.3901
_cell_length_b 4.3901
_cell_length_c 5.0229
_cell_angle_alpha 90.00
_cell_angle_beta 90.00
_cell_angle_gamma 90.00
_space_group_name_H-M_alt 'P 4/m m m'
_space_group_IT_number 123
_space_group_name_Hall '-P 4 2'
loop_
_atom_site_label
_atom_site_fract_x
_atom_site_fract_y
_atom_site_fract_z
Rb1 0.0000 0.0000 0.0000
In1 0.5000 0.5000 0.0000
Ga1 0.5000 0.5000 0.5000
O1 0.0000 0.5000 0.5000
```

Values from the calculation:
**Total moment**: 0.000 μB per formula unit
**Calculated total energy**: -3.599 eV per atom

Entry 3:
VASP calculation (GGA-PBE) on RbInGaO4 after structural relaxation.

Geometry as CIF:
```
data_RbInGaO4
_cell_length_a 5.9520
_cell_length_b 5.9520
_cell_length_c 8.4516
_cell_angle_alpha 90.00
_cell_angle_beta 90.00
_cell_angle_gamma 90.00
_space_group_name_H-M_alt 'I -4'
_space_group_IT_number 82
loop_
_space_group_symop_operation_xyz
'x,y,z'
'y,-x,-z'
'-x,-y,z'
'-y,x,-z'
'x+1/2,y+1/2,z+1/2'
'y+1/2,-x+1/2,-z+1/2'
'-x+1/2,-y+1/2,z+1/2'
'-y+1/2,x+1/2,-z+1/2'
loop_
_atom_site_label
_atom_site_fract_x
_atom_site_fract_y
_atom_site_fract_z
Rb1 0.0000 0.0000 0.0000
In1 0.0000 0.0000 0.5000
Ga1 0.0000 0.5000 0.7500
O1 0.1195 0.2703 0.6284
```

Values from the calculation:
**Total moment**: 1.021 μB per formula unit
**Calculated total energy**: -5.134 eV per atom

Entry 4:
VASP calculation (GGA-PBE) on Rb2InGaO4 after structural relaxation.

Geometry as CIF:
```
data_Rb2InGaO4
_cell_length_a 5.5443
_cell_length_b 12.6267
_cell_length_c 21.0934
_cell_angle_alpha 90.00
_cell_angle_beta 90.00
_cell_angle_gamma 90.00
_space_group_name_H-M_alt 'F d d d'
_space_group_IT_number 70
loop_
_space_group_symop_operation_xyz
'x,y,z'
'-x,-y,-z'
'-x+1/4,-y+1/4,z'
'x+1/4,y+1/4,-z'
'x,-y+1/4,-z+1/4'
'-x,y+1/4,z+1/4'
'-x+1/4,y,-z+1/4'
'x+1/4,-y,z+1/4'
'x,y+1/2,z+1/2'
'-x,-y+1/2,-z+1/2'
'-x+1/4,-y+3/4,z+1/2'
'x+1/4,y+3/4,-z+1/2'
'x,-y+3/4,-z+3/4'
'-x,y+3/4,z+3/4'
'-x+1/4,y+1/2,-z+3/4'
'x+1/4,-y+1/2,z+3/4'
'x+1/2,y,z+1/2'
'-x+1/2,-y,-z+1/2'
'-x+3/4,-y+1/4,z+1/2'
'x+3/4,y+1/4,-z+1/2'
'x+1/2,-y+1/4,-z+3/4'
'-x+1/2,y+1/4,z+3/4'
'-x+3/4,y,-z+3/4'
'x+3/4,-y,z+3/4'
'x+1/2,y+1/2,z'
'-x+1/2,-y+1/2,-z'
'-x+3/4,-y+3/4,z'
'x+3/4,y+3/4,-z'
'x+1/2,-y+3/4,-z+1/4'
'-x+1/2,y+3/4,z+1/4'
'-x+3/4,y+1/2,-z+1/4'
'x+3/4,-y+1/2,z+1/4'
loop_
_atom_site_label
_atom_site_fract_x
_atom_site_fract_y
_atom_site_fract_z
Rb1 0.1250 0.1250 0.3069
In1 0.1250 0.1250 0.1250
Ga1 0.1250 0.1250 0.6250
O1 0.1015 0.2862 0.8329
```

Values from the calculation:
**Total moment**: 0.000 μB per formula unit
**Calculated total energy**: -4.906 eV per atom

Entry 5:
VASP calculation (GGA-PBE) on InGaReO6 after structural relaxation.

Geometry as CIF:
```
data_InGaReO6
_cell_length_a 5.1534
_cell_length_b 5.1534
_cell_length_c 9.2661
_cell_angle_alpha 90.00
_cell_angle_beta 90.00
_cell_angle_gamma 120.00
_space_group_name_H-M_alt 'P -3 1 c'
_space_group_IT_number 163
_space_group_name_Hall '-P 3 2c'
loop_
_atom_site_label
_atom_site_fract_x
_atom_site_fract_y
_atom_site_fract_z
In1 0.0000 0.0000 0.0000
Ga1 0.3333 0.6667 0.2500
Re1 0.3333 0.6667 0.7500
O1 0.0106 0.3633 0.6356
```

Values from the calculation:
**Total moment**: 0.001 μB per formula unit
**Calculated total energy**: -6.869 eV per atom

Entry 6:
VASP calculation (GGA-PBE) on InGa2RuO after structural relaxation.

Geometry as CIF:
```
data_InGa2RuO
_cell_length_a 4.2444
_cell_length_b 4.2444
_cell_length_c 4.5882
_cell_angle_alpha 90.00
_cell_angle_beta 90.00
_cell_angle_gamma 90.00
_space_group_name_H-M_alt 'P 4/m m m'
_space_group_IT_number 123
_space_group_name_Hall '-P 4 2'
loop_
_atom_site_label
_atom_site_fract_x
_atom_site_fract_y
_atom_site_fract_z
In1 0.0000 0.0000 0.0000
Ga1 0.0000 0.5000 0.5000
Ru1 0.5000 0.5000 0.0000
O1 0.0000 0.0000 0.5000
```

Values from the calculation:
**Total moment**: 0.000 μB per formula unit
**Calculated total energy**: -4.555 eV per atom